KYZr, relaxed, DFT PBE; total magnetic moment = 0.00 μB/atom; SG = P6_3/mmc; calculated formation energy = 191.1 kJ per mole of atoms
1.0
5.2903 -3.0544 0.0000
0.0000 6.1087 0.0000
0.0000 0.0000 10.9055
K Y Zr
2 2 2
Direct
0.6667 0.3333 0.7500 K
0.3333 0.6667 0.2500 K
0.0000 0.0000 0.2500 Y
0.0000 0.0000 0.7500 Y
0.0000 0.0000 0.5000 Zr
0.0000 0.0000 0.0000 Zr